Record 1
# meta-GGA SCAN Ca2SiPd2, PBEsol geometry
# density of states at the Fermi level = 3.53 states/eV per cell
# uncorrected formation energy = -1.64 eV/f.u.
data_Ca2SiPd2
_chemical_formula_sum 'Ca4 Si2 Pd4'
_cell_length_a 3.6142
_cell_length_b 3.6142
_cell_length_c 16.9030
_cell_angle_alpha 90.00
_cell_angle_beta 90.00
_cell_angle_gamma 90.00
_space_group_name_H-M_alt 'I 4/m m m'
_space_group_IT_number 139
_space_group_name_Hall '-I 4 2'
loop_
_atom_site_label
_atom_site_type_symbol
_atom_site_fract_x
_atom_site_fract_y
_atom_site_fract_z
_atom_site_occupancy
Ca1 Ca 0.0000 0.0000 0.1098 1
Si1 Si 0.0000 0.0000 0.5000 1
Pd1 Pd 0.0000 0.5000 0.2500 1


Record 2
# meta-GGA SCAN CaSi2Pd2, PBEsol geometry
# density of states at the Fermi level = 4.81 states/eV per cell
# uncorrected formation energy = -4.24 eV/f.u.
data_CaSi2Pd2
_chemical_formula_sum 'Ca2 Si4 Pd4'
_cell_length_a 4.1608
_cell_length_b 4.1608
_cell_length_c 9.8344
_cell_angle_alpha 90.00
_cell_angle_beta 90.00
_cell_angle_gamma 90.00
_space_group_name_H-M_alt 'I 4/m m m'
_space_group_IT_number 139
_space_group_name_Hall '-I 4 2'
loop_
_atom_site_label
_atom_site_type_symbol
_atom_site_fract_x
_atom_site_fract_y
_atom_site_fract_z
_atom_site_occupancy
Ca1 Ca 0.0000 0.0000 0.0000 1
Si1 Si 0.0000 0.0000 0.3788 1
Pd1 Pd 0.0000 0.5000 0.2500 1


Record 3
# meta-GGA SCAN CaSmPd2, PBEsol geometry
# density of states at the Fermi level = 7.33 states/eV per cell
# formation energy from the elements = -0.808 eV/atom
data_CaSmPd2
_chemical_formula_sum 'Ca4 Sm4 Pd8'
_cell_length_a 6.9732
_cell_length_b 6.9732
_cell_length_c 6.9732
_cell_angle_alpha 90.00
_cell_angle_beta 90.00
_cell_angle_gamma 90.00
_space_group_name_H-M_alt 'F m -3 m'
_space_group_IT_number 225
_space_group_name_Hall '-F 4 2 3'
loop_
_atom_site_label
_atom_site_type_symbol
_atom_site_fract_x
_atom_site_fract_y
_atom_site_fract_z
_atom_site_occupancy
Ca1 Ca 0.0000 0.0000 0.0000 1
Sm1 Sm 0.0000 0.0000 0.5000 1
Pd1 Pd 0.2500 0.2500 0.2500 1


Record 4
# meta-GGA SCAN CaSn3Pd, PBEsol geometry
# density of states at the Fermi level = 3.53 states/eV per cell
# formation energy from the elements = 1.099 eV/atom
data_CaSn3Pd
_chemical_formula_sum 'Ca1 Sn3 Pd1'
_cell_length_a 5.4958
_cell_length_b 5.4958
_cell_length_c 5.4958
_cell_angle_alpha 90.00
_cell_angle_beta 90.00
_cell_angle_gamma 90.00
_space_group_name_H-M_alt 'P m -3 m'
_space_group_IT_number 221
_space_group_name_Hall '-P 4 2 3'
loop_
_atom_site_label
_atom_site_type_symbol
_atom_site_fract_x
_atom_site_fract_y
_atom_site_fract_z
_atom_site_occupancy
Ca1 Ca 0.0000 0.0000 0.0000 1
Sn1 Sn 0.0000 0.0000 0.5000 1
Pd1 Pd 0.5000 0.5000 0.5000 1


Record 5
# meta-GGA SCAN SrCa3Pd, PBEsol geometry
# density of states at the Fermi level = 3.13 states/eV per cell
# formation energy from the elements = -0.348 eV/atom
data_SrCa3Pd
_chemical_formula_sum 'Sr1 Ca3 Pd1'
_cell_length_a 5.6647
_cell_length_b 5.6647
_cell_length_c 5.6647
_cell_angle_alpha 90.00
_cell_angle_beta 90.00
_cell_angle_gamma 90.00
_space_group_name_H-M_alt 'P m -3 m'
_space_group_IT_number 221
_space_group_name_Hall '-P 4 2 3'
loop_
_atom_site_label
_atom_site_type_symbol
_atom_site_fract_x
_atom_site_fract_y
_atom_site_fract_z
_atom_site_occupancy
Sr1 Sr 0.0000 0.0000 0.0000 1
Ca1 Ca 0.0000 0.5000 0.5000 1
Pd1 Pd 0.5000 0.5000 0.5000 1


Record 6
# meta-GGA SCAN SrCaPd2, PBEsol geometry
# density of states at the Fermi level = 5.51 states/eV per cell
# formation energy from the elements = -0.594 eV/atom
data_SrCaPd2
_chemical_formula_sum 'Sr4 Ca4 Pd8'
_cell_length_a 7.1203
_cell_length_b 7.1203
_cell_length_c 7.1203
_cell_angle_alpha 90.00
_cell_angle_beta 90.00
_cell_angle_gamma 90.00
_space_group_name_H-M_alt 'F m -3 m'
_space_group_IT_number 225
_space_group_name_Hall '-F 4 2 3'
loop_
_atom_site_label
_atom_site_type_symbol
_atom_site_fract_x
_atom_site_fract_y
_atom_site_fract_z
_atom_site_occupancy
Sr1 Sr 0.0000 0.0000 0.0000 1
Ca1 Ca 0.0000 0.0000 0.5000 1
Pd1 Pd 0.2500 0.2500 0.2500 1


Record 7
# meta-GGA SCAN SrCa2Pd2, PBEsol geometry
# density of states at the Fermi level = 2.79 states/eV per cell
# formation energy from the elements = -0.571 eV/atom
data_SrCa2Pd2
_chemical_formula_sum 'Sr2 Ca4 Pd4'
_cell_length_a 7.8849
_cell_length_b 7.8849
_cell_length_c 4.1254
_cell_angle_alpha 90.00
_cell_angle_beta 90.00
_cell_angle_gamma 90.00
_space_group_name_H-M_alt 'P 4/m b m'
_space_group_IT_number 127
_space_group_name_Hall '-P 4 2ab'
loop_
_atom_site_label
_atom_site_type_symbol
_atom_site_fract_x
_atom_site_fract_y
_atom_site_fract_z
_atom_site_occupancy
Sr1 Sr 0.0000 0.0000 0.0000 1
Ca1 Ca 0.1567 0.3433 0.5000 1
Pd1 Pd 0.1252 0.6252 0.0000 1


Record 8
# meta-GGA SCAN Sr2CaPd2, PBEsol geometry
# density of states at the Fermi level = 2.43 states/eV per cell
# formation energy from the elements = -0.565 eV/atom
data_Sr2CaPd2
_chemical_formula_sum 'Sr4 Ca2 Pd4'
_cell_length_a 7.8833
_cell_length_b 7.8833
_cell_length_c 4.3899
_cell_angle_alpha 90.00
_cell_angle_beta 90.00
_cell_angle_gamma 90.00
_space_group_name_H-M_alt 'P 4/m b m'
_space_group_IT_number 127
_space_group_name_Hall '-P 4 2ab'
loop_
_atom_site_label
_atom_site_type_symbol
_atom_site_fract_x
_atom_site_fract_y
_atom_site_fract_z
_atom_site_occupancy
Sr1 Sr 0.1648 0.3352 0.0000 1
Ca1 Ca 0.0000 0.0000 0.5000 1
Pd1 Pd 0.1254 0.6254 0.5000 1


Record 9
# meta-GGA SCAN Sr3CaPd, PBEsol geometry
# density of states at the Fermi level = 3.27 states/eV per cell
# formation energy from the elements = -0.288 eV/atom
data_Sr3CaPd
_chemical_formula_sum 'Sr3 Ca1 Pd1'
_cell_length_a 5.9358
_cell_length_b 5.9358
_cell_length_c 5.9358
_cell_angle_alpha 90.00
_cell_angle_beta 90.00
_cell_angle_gamma 90.00
_space_group_name_H-M_alt 'P m -3 m'
_space_group_IT_number 221
_space_group_name_Hall '-P 4 2 3'
loop_
_atom_site_label
_atom_site_type_symbol
_atom_site_fract_x
_atom_site_fract_y
_atom_site_fract_z
_atom_site_occupancy
Sr1 Sr 0.0000 0.0000 0.5000 1
Ca1 Ca 0.5000 0.5000 0.5000 1
Pd1 Pd 0.0000 0.0000 0.0000 1


Record 10
# meta-GGA SCAN SrCa2Pd2, PBEsol geometry
# density of states at the Fermi level = 4.88 states/eV per cell
# formation energy from the elements = -0.531 eV/atom
data_SrCa2Pd2
_chemical_formula_sum 'Sr2 Ca4 Pd4'
_cell_length_a 4.6324
_cell_length_b 4.6324
_cell_length_c 12.4471
_cell_angle_alpha 90.00
_cell_angle_beta 90.00
_cell_angle_gamma 90.00
_space_group_name_H-M_alt 'I 4/m m m'
_space_group_IT_number 139
_space_group_name_Hall '-I 4 2'
loop_
_atom_site_label
_atom_site_type_symbol
_atom_site_fract_x
_atom_site_fract_y
_atom_site_fract_z
_atom_site_occupancy
Sr1 Sr 0.0000 0.0000 0.0000 1
Ca1 Ca 0.0000 0.5000 0.2500 1
Pd1 Pd 0.0000 0.0000 0.3952 1


Record 11
# meta-GGA SCAN Sr3CaPd, PBEsol geometry
# density of states at the Fermi level = 12.92 states/eV per cell
# formation energy from the elements = -0.318 eV/atom
data_Sr3CaPd
_chemical_formula_sum 'Sr12 Ca4 Pd4'
_cell_length_a 14.4758
_cell_length_b 8.2921
_cell_length_c 7.2271
_cell_angle_alpha 90.00
_cell_angle_beta 109.53
_cell_angle_gamma 90.00
_space_group_name_H-M_alt 'C 1 2/m 1'
_space_group_IT_number 12
_space_group_name_Hall '-C 2y'
loop_
_atom_site_label
_atom_site_type_symbol
_atom_site_fract_x
_atom_site_fract_y
_atom_site_fract_z
_atom_site_occupancy
Sr1 Sr 0.0000 0.0000 0.0000 1
Sr2 Sr 0.0000 0.2417 0.5000 1
Sr3 Sr 0.0000 0.5000 0.0000 1
Sr4 Sr 0.2484 0.5000 0.4997 1
Ca1 Ca 0.2500 0.2500 0.0000 1
Pd1 Pd 0.1355 0.0000 0.7658 1


Record 12
# meta-GGA SCAN Sr3CaPd, PBEsol geometry
# density of states at the Fermi level = 5.33 states/eV per cell
# formation energy from the elements = 1.099 eV/atom
data_Sr3CaPd
_chemical_formula_sum 'Sr3 Ca1 Pd1'
_cell_length_a 6.2217
_cell_length_b 6.2217
_cell_length_c 6.2217
_cell_angle_alpha 90.00
_cell_angle_beta 90.00
_cell_angle_gamma 90.00
_space_group_name_H-M_alt 'P m -3 m'
_space_group_IT_number 221
_space_group_name_Hall '-P 4 2 3'
loop_
_atom_site_label
_atom_site_type_symbol
_atom_site_fract_x
_atom_site_fract_y
_atom_site_fract_z
_atom_site_occupancy
Sr1 Sr 0.0000 0.0000 0.5000 1
Ca1 Ca 0.0000 0.0000 0.0000 1
Pd1 Pd 0.5000 0.5000 0.5000 1